No. 1
Here is a relaxed ErPuTh2 crystal from the Alexandria database. Energies are from GGA-PBE.

Summary:
The spin magnetization is 6.25 μB/f.u. For the formation energy, the calculation gives 0.4 eV/f.u.

Unit cell a=5.0546 b=5.0546 c=4.7126 alpha=90.00 beta=90.00 gamma=90.00
Last column: nearest neighbours and their distance in Å.
Space group P4/mmm (No. 123)
Unique sites:
Er (0.0000, 0.0000, 0.0000) (multiplicity 1)  8 Th 3.46, 4 Pu 3.57
Pu (0.5000, 0.5000, 0.0000) (multiplicity 1)  8 Th 3.46, 4 Er 3.57
Th (0.0000, 0.5000, 0.5000) (multiplicity 2)  4 Er 3.46, 4 Pu 3.46, 4 Th 3.57

No. 2
Here is a relaxed Li3Tl2 crystal from the Alexandria database. Energies are from GGA-PBE.

Summary:
The spin magnetization is 0.00 μB/f.u. For the formation energy, the calculation gives -1.0 eV/f.u.

Unit cell a=9.9035 b=14.4765 c=5.7829 alpha=90.00 beta=90.00 gamma=90.00
Last column: nearest neighbours and their distance in Å.
Space group Fdd2 (No. 43)
Unique sites:
Li (0.0000, 0.0000, 0.0000) (multiplicity 8)  6 Tl 2.90-3.04, 2 Li 3.15
Li (0.0441, 0.4003, 0.0219) (multiplicity 16)  5 Tl 2.94-3.07, 5 Li 2.96-3.26
Tl (0.0271, 0.3022, 0.5644) (multiplicity 16)  8 Li 2.90-3.07

No. 3
Here is a relaxed Mn2CoPt crystal from the Alexandria database. Energies are from GGA-PBE.

Summary:
The spin magnetization is 1.43 μB/f.u. For the formation energy, the calculation gives -0.4 eV/f.u.

Unit cell a=2.6667 b=3.6709 c=5.2781 alpha=90.00 beta=90.00 gamma=90.00
Last column: nearest neighbours and their distance in Å.
Space group Pmm2 (No. 25)
Unique sites:
Mn (0.0000, 0.0000, 0.0000) (multiplicity 1)  4 Co 2.56, 2 Pt 2.57-2.71, 6 Mn 2.61-2.67
Mn (0.5000, 0.5000, 0.2451) (multiplicity 1)  1 Co 2.49, 6 Mn 2.61-2.67, 4 Pt 2.68
Co (0.5000, 0.5000, 0.7735) (multiplicity 1)  5 Mn 2.49-2.56, 4 Pt 2.65, 2 Co 2.67
Pt (0.0000, 0.0000, 0.5140) (multiplicity 1)  6 Mn 2.57-2.71, 4 Co 2.65, 2 Pt 2.67

No. 4
Here is a relaxed LiSm3Pu2Se6 crystal from the Alexandria database. Energies are from GGA-PBE.

Summary:
The spin magnetization is 11.75 μB/f.u. The formation energy from raw total energies comes out at -1.68 eV per atom.

Unit cell a=7.1696 b=12.4255 c=7.1878 alpha=90.00 beta=109.49 gamma=90.00
Last column: nearest neighbours and their distance in Å.
Space group C2/m (No. 12)
Unique sites:
Li (0.0000, 0.0000, 0.0000) (multiplicity 2)  6 Se 2.86-2.87
Sm (0.0000, 0.1679, 0.5000) (multiplicity 4)  6 Se 2.94-2.99
Sm (0.0000, 0.5000, 0.5000) (multiplicity 2)  6 Se 2.94-2.99
Pu (0.0000, 0.3338, 0.0000) (multiplicity 4)  6 Se 2.92-2.93
Se (0.2442, 0.1632, 0.2433) (multiplicity 8)  1 Li 2.86, 2 Pu 2.93, 3 Sm 2.94-2.99
Se (0.2450, 0.0000, 0.7559) (multiplicity 4)  1 Li 2.87, 2 Pu 2.92, 3 Sm 2.94-2.99

No. 5
Here is a relaxed LiSbTe2W crystal from the Alexandria database. Energies are from GGA-PBE.

Summary:
The spin magnetization is 3.09 μB/f.u. The formation energy from raw total energies comes out at 1.10 eV per atom.

Unit cell a=5.0688 b=5.0688 c=4.7074 alpha=90.00 beta=90.00 gamma=90.00
Last column: nearest neighbours and their distance in Å.
Space group P4/mmm (No. 123)
Unique sites:
Li (0.0000, 0.0000, 0.0000) (multiplicity 1)  2 Sb 2.35, 4 Te 2.53
Sb (0.0000, 0.0000, 0.5000) (multiplicity 1)  2 Li 2.35
Te (0.0000, 0.5000, 0.0000) (multiplicity 2)  2 Li 2.53
W (0.5000, 0.5000, 0.5000) (multiplicity 1)  8 Te 3.46, 4 Sb 3.58

No. 6
Here is a relaxed VN crystal from the Alexandria database. Energies are from GGA-PBE.

Summary:
The spin magnetization is 0.26 μB/f.u. The formation energy from raw total energies comes out at -0.78 eV per atom.

Unit cell a=5.4147 b=5.4147 c=5.4147 alpha=90.00 beta=90.00 gamma=90.00
Last column: nearest neighbours and their distance in Å.
Space group Pm-3n (No. 223)
Unique sites:
V (0.0000, 0.2500, 0.5000) (multiplicity 6)  4 N 1.91
N (0.0000, 0.5000, 0.2500) (multiplicity 6)  4 V 1.91

No. 7
Here is a relaxed Ce8GePd24 crystal from the Alexandria database. Energies are from GGA-PBE.

Summary:
The spin magnetization is 5.00 μB/f.u. For the formation energy, the calculation gives -26.0 eV/f.u.

Unit cell a=8.4463 b=8.4463 c=8.4463 alpha=90.00 beta=90.00 gamma=90.00
Last column: nearest neighbours and their distance in Å.
Space group Pm-3m (No. 221)
Unique sites:
Ce (0.2495, 0.2495, 0.2495) (multiplicity 8)  12 Pd 2.99-3.01
Ge (0.0000, 0.0000, 0.0000) (multiplicity 1)  6 Pd 2.51
Pd (0.0000, 0.0000, 0.2972) (multiplicity 6)  1 Ge 2.51, 4 Pd 2.80
Pd (0.0000, 0.2621, 0.5000) (multiplicity 12)  8 Pd 2.80-3.13, 4 Ce 2.99
Pd (0.2539, 0.5000, 0.5000) (multiplicity 6)  8 Pd 2.94, 4 Ce 2.99

No. 8
Here is a relaxed Ho4ZnCo2 crystal from the Alexandria database. Energies are from GGA-PBE.

Summary:
The spin magnetization is 0.00 μB/f.u. For the formation energy, the calculation gives -1.1 eV/f.u.

Unit cell a=6.7545 b=7.0440 c=7.2969 alpha=106.35 beta=100.60 gamma=98.46
Last column: nearest neighbours and their distance in Å.
Space group P1 (No. 1)
Unique sites:
Ho (0.0000, 0.0000, 0.0000) (multiplicity 1)  3 Co 2.62-2.66, 1 Zn 2.91
Ho (0.0028, 0.3550, 0.4955) (multiplicity 1)  4 Co 2.68-2.93
Ho (0.0529, 0.8503, 0.4419) (multiplicity 1)  4 Co 2.70-2.93, 1 Zn 2.93
Ho (0.0998, 0.5035, 0.0161) (multiplicity 1)  1 Co 2.65
Ho (0.4418, 0.8733, 0.8085) (multiplicity 1)  3 Co 2.83-3.16, 2 Zn 2.91-3.07
Ho (0.5109, 0.3387, 0.1792) (multiplicity 1)  2 Co 2.63-2.70
Ho (0.5222, 0.3303, 0.6877) (multiplicity 1)  3 Co 2.64-2.86, 2 Zn 2.91-2.93
Ho (0.5327, 0.8886, 0.3443) (multiplicity 1)  3 Co 2.71-2.76, 2 Zn 2.91-2.99
Zn (0.7175, 0.6698, 0.0424) (multiplicity 1)  7 Ho 2.91-3.14, 1 Zn 3.18
Zn (0.7354, 0.6853, 0.6139) (multiplicity 1)  2 Co 2.64-2.68, 3 Ho 2.91-2.93
Co (0.1896, 0.1793, 0.7855) (multiplicity 1)  1 Co 2.40, 3 Ho 2.65-2.66
Co (0.2684, 0.1421, 0.3402) (multiplicity 1)  6 Ho 2.62-2.71, 1 Co 2.84
Co (0.3338, 0.5698, 0.4362) (multiplicity 1)  1 Zn 2.68, 5 Ho 2.68-2.93, 1 Co 2.84
Co (0.8211, 0.0811, 0.6856) (multiplicity 1)  1 Co 2.40, 1 Ho 2.64, 1 Zn 2.64

Sequential density of states at the Fermi level output: 10.110; 1.443; 4.597; 21.301; 2.957; 2.221; 46.472; 6.539 states/eV/f.u.